No. 1
Density functional theory data (GGA-PBE) for a relaxed structure of SrAs2Pd8.

Cell: 5.565 5.565 8.037 Å, 90.00 90.00 90.00°
Space group P4/mmm (No. 123)
Inequivalent atoms, fractional coordinates:
1 Sr 0.000 0.000 0.000
2 As 0.000 0.500 0.500
3 Pd 0.252 0.252 0.310

* energy relative to the elements: -1.60 eV per formula unit
* total moment: 0.00 μB/cell

No. 2
Density functional theory data (GGA-PBE) for a relaxed structure of Sr2AsPd6.

Cell: 10.206 5.837 6.168 Å, 90.00 105.55 90.00°
Space group C2/m (No. 12)
Inequivalent atoms, fractional coordinates:
1 Sr 0.137 0.000 0.329
2 As 0.000 0.500 0.500
3 Pd 0.117 0.500 0.191
4 Pd 0.140 0.246 0.812

* energy relative to the elements: -5.16 eV per formula unit
* total moment: 0.00 μB/cell